Here is an optimized crystal structure of SmAlHg from Alexandria via LeMat-Bulk. Energies are from GGA-PBE.

It has space group P-6m2 (No. 187), with a = 4.7107 Å, b = 4.7107 Å, c = 3.6886 Å, α = 90.00°, β = 90.00° and γ = 120.00°. The asymmetric unit holds Sm at (0.0000, 0.0000, 0.0000), Al at (0.3333, 0.6667, 0.5000) and Hg at (0.6667, 0.3333, 0.5000).

Its formation energy is -0.47 eV per atom. As for the total energy: -3.394 eV/atom.